No. 1
A plane-wave DFT calculation with PBE-GGA was carried out for a relaxed Ba2Y2Al crystal.

abc: 8.524 8.524 5.357
angles: 90.00 90.00 90.00
Positions (direct):
Ba: 0.140 0.360 0.000
Ba: 0.360 0.860 0.000
Ba: 0.640 0.140 0.000
Ba: 0.860 0.640 0.000
Y: 0.165 0.665 0.500
Y: 0.335 0.165 0.500
Y: 0.665 0.835 0.500
Y: 0.835 0.335 0.500
Al: 0.000 0.000 0.000
Al: 0.500 0.500 0.000

Values from the calculation:
* M_tot: 0.00 μB per formula unit
* ΔH_f (0 K): 54.7 kJ/mol of atoms
* DFT total energy: -3.54 eV/atom
* ΔE to the lowest computed polymorph: 379.4 meV/atom
* mass density: 4.09 Mg/m³

***

No. 2
A plane-wave DFT calculation with PBE-GGA was carried out for a relaxed BaY2Al2 crystal.

abc: 7.425 7.425 7.425
angles: 140.90 140.90 56.48
Positions (direct):
Ba: 0.000 0.000 0.000
Y: 0.250 0.750 0.500
Y: 0.750 0.250 0.500
Al: 0.398 0.398 0.000
Al: 0.602 0.602 0.000

Values from the calculation:
* M_tot: 0.00 μB per formula unit
* ΔH_f (0 K): -9.7 kJ/mol of atoms
* DFT total energy: -4.57 eV/atom
* ΔE to the lowest computed polymorph: 82.1 meV/atom
* mass density: 3.80 Mg/m³

***

No. 3
A plane-wave DFT calculation with PBE-GGA was carried out for a relaxed BaYAl crystal.

abc: 3.970 3.970 13.364
angles: 90.00 90.00 90.00
Positions (direct):
Ba: 0.250 0.250 0.146
Ba: 0.750 0.750 0.854
Y: 0.250 0.250 0.419
Y: 0.750 0.750 0.581
Al: 0.250 0.250 0.680
Al: 0.750 0.750 0.320

Values from the calculation:
* M_tot: 0.39 μB per formula unit
* ΔH_f (0 K): -15.8 kJ/mol of atoms
* DFT total energy: -4.21 eV/atom
* ΔE to the lowest computed polymorph: 21.9 meV/atom
* mass density: 3.99 Mg/m³

***

No. 4
A plane-wave DFT calculation with PBE-GGA was carried out for a relaxed Ba2YAl crystal.

abc: 7.642 7.642 5.417
angles: 110.69 110.69 30.58
Positions (direct):
Ba: 0.198 0.198 0.198
Ba: 0.802 0.802 0.802
Y: 0.000 0.000 0.500
Al: 0.500 0.500 0.000

Values from the calculation:
* M_tot: 0.00 μB per formula unit
* ΔH_f (0 K): 14.7 kJ/mol of atoms
* DFT total energy: -3.36 eV/atom
* mass density: 4.33 Mg/m³